(1)
Compound: LiAc2TcGe6
Source: Alexandria via LeMat-Bulk
Functional: PBE
Structure: optimized geometry

Cell lengths 6.4020, 6.4020, 12.7610 Å; angles 75.47, 75.47, 60.00 degrees
With the nearest neighbours (Å) after each atom.
Fractional positions:
1 Ge 0.3339 0.3339 0.3986  1 Tc 2.54, 2 Ge 2.56, 1 Li 2.63
2 Ge 0.0664 0.6661 0.6014  1 Tc 2.54, 2 Ge 2.56, 1 Li 2.63
3 Li 0.4276 0.4276 0.7172  6 Ge 2.58-2.63, 1 Tc 2.65
4 Ac 0.7119 0.7119 0.8644  12 Ge 3.23-3.54
5 Ge 0.7677 0.3515 0.1131  1 Tc 2.56, 1 Li 2.58, 2 Ge 2.66
6 Ge 0.3515 0.7677 0.1131  1 Tc 2.56, 1 Li 2.58, 2 Ge 2.66
7 Li 0.5724 0.5724 0.2828  6 Ge 2.58-2.63, 1 Tc 2.65
8 Tc 0.0000 0.0000 0.0000  6 Ge 2.56
9 Ge 0.9336 0.3339 0.3986  1 Tc 2.54, 2 Ge 2.56, 1 Li 2.63
10 Ge 0.7677 0.7677 0.1131  1 Tc 2.56, 1 Li 2.58, 2 Ge 2.66
11 Ge 0.6661 0.6661 0.6014  1 Tc 2.54, 2 Ge 2.56, 1 Li 2.63
12 Ac 0.8880 0.8880 0.3361  12 Ge 3.31-3.56
13 Ge 0.6661 0.0664 0.6014  1 Tc 2.54, 2 Ge 2.56, 1 Li 2.63
14 Tc 0.5000 0.5000 0.5000  6 Ge 2.54, 2 Li 2.65
15 Ac 0.1120 0.1120 0.6639  12 Ge 3.31-3.56
16 Ge 0.3339 0.9336 0.3986  1 Tc 2.54, 2 Ge 2.56, 1 Li 2.63
17 Ac 0.2881 0.2881 0.1356  12 Ge 3.23-3.54
18 Ge 0.6485 0.2323 0.8869  1 Tc 2.56, 1 Li 2.58, 2 Ge 2.66
19 Ge 0.2323 0.6485 0.8869  1 Tc 2.56, 1 Li 2.58, 2 Ge 2.66
20 Ge 0.2323 0.2323 0.8869  1 Tc 2.56, 1 Li 2.58, 2 Ge 2.66

## Properties
- crystal system = trigonal
- calculated formation energy (eV/atom) = -0.399


(2)
Compound: Tb3Sm4Te8
Source: Alexandria via LeMat-Bulk
Functional: PBE
Structure: optimized geometry

Cell lengths 8.7875, 8.7887, 8.7887 Å; angles 89.98, 120.02, 120.02 degrees
With the nearest neighbours (Å) after each atom.
Fractional positions:
1 Te 0.0000 0.7428 0.2572  2 Tb 3.11, 3 Sm 3.11-3.20
2 Tb 0.5000 0.0000 0.5000  6 Te 3.11
3 Sm 0.0000 0.5000 0.0000  6 Te 3.11
4 Te 0.5000 0.2519 0.7481  3 Tb 3.08-3.11, 3 Sm 3.11-3.13
5 Te 0.0000 0.2572 0.7428  2 Tb 3.11, 3 Sm 3.11-3.20
6 Sm 0.5000 0.0000 0.0000  6 Te 3.13
7 Tb 0.5000 0.5000 0.5000  6 Te 3.08-3.09
8 Sm 0.0000 0.0000 0.0000  6 Te 3.20
9 Te 0.0038 0.2591 0.2591  1 Tb 3.08, 4 Sm 3.11-3.20
10 Te 0.4855 0.7409 0.7409  3 Tb 3.09-3.11, 2 Sm 3.13-3.20
11 Tb 0.5000 0.5000 0.0000  6 Te 3.11
12 Te 0.5000 0.7481 0.2519  3 Tb 3.08-3.11, 3 Sm 3.11-3.13
13 Sm 0.0000 0.0000 0.5000  6 Te 3.11
14 Te 0.9962 0.7409 0.7409  1 Tb 3.08, 4 Sm 3.11-3.20
15 Te 0.5145 0.2591 0.2591  3 Tb 3.09-3.11, 2 Sm 3.13-3.20

## Properties
- crystal system = monoclinic
- E_tot (eV/cell) = -79.07


(3)
Compound: Ta2NiHgN
Source: Alexandria via LeMat-Bulk
Functional: PBE
Structure: optimized geometry

Cell lengths 4.9715, 3.3361, 4.9715 Å; angles 90.00, 90.00, 90.00 degrees
With the nearest neighbours (Å) after each atom.
Fractional positions:
1 Ni 0.0000 0.0000 0.0000  2 N 1.67
2 Ta 0.5000 0.0000 0.0000  2 Ni 2.49
3 Hg 0.5000 0.5000 0.5000  8 Ta 2.99, 2 Hg 3.34
4 N 0.0000 0.5000 0.0000  2 Ni 1.67
5 Ta 0.0000 0.0000 0.5000  2 Ni 2.49

## Properties
- crystal system = tetragonal
- E_tot (eV/cell) = -33.58


(4)
Compound: SnAuCl2
Source: Alexandria via LeMat-Bulk
Functional: PBE
Structure: optimized geometry

Cell lengths 9.5065, 9.5065, 9.5065 Å; angles 21.45, 21.45, 21.45 degrees
With the nearest neighbours (Å) after each atom.
Fractional positions:
1 Sn 0.5000 0.5000 0.5000  6 Cl 3.09
2 Au 0.0000 0.0000 0.0000  2 Cl 2.32
3 Cl 0.9167 0.9167 0.9167  1 Au 2.32
4 Cl 0.0833 0.0833 0.0833  1 Au 2.32

## Properties
- offset from the most stable computed form (eV per atom) = 0.000
- crystal system = trigonal